No. 1
First-principles (PBE-GGA) data for an optimized crystal structure of BaCu, as listed in the Alexandria database.

Calculated values
total moment = 0.00 μB per cell
crystal system = orthorhombic
energy = -5.9 eV per formula unit
energy of formation = 0.09 eV/f.u.
SG = P2_12_12_1 (19)

a b c (Å): 6.5382 6.4008 12.1142
angles (deg): 90.00 90.00 90.00
Element x y z (fractional)
Ba  0.1089  0.5910  0.4357
Ba  0.8911  0.0910  0.0643
Ba  0.1791  0.8905  0.7776
Ba  0.6791  0.6095  0.2224
Ba  0.3911  0.4090  0.9357
Ba  0.6089  0.9090  0.5643
Ba  0.8209  0.3905  0.7224
Ba  0.3209  0.1095  0.2776
Cu  0.5928  0.3959  0.4728
Cu  0.4072  0.8959  0.0272
Cu  0.9072  0.6041  0.9728
Cu  0.8351  0.1532  0.3679
Cu  0.6649  0.8468  0.8679
Cu  0.1649  0.6532  0.1321
Cu  0.3351  0.3468  0.6321
Cu  0.0928  0.1041  0.5272


No. 2
First-principles (PBE-GGA) data for an optimized crystal structure of Ba7Cu, as listed in the Alexandria database.

Calculated values
total moment = 0.00 μB per cell
crystal system = cubic
energy = -15.9 eV per formula unit
energy of formation = 1.67 eV/f.u.
SG = Fm-3m (225)

a b c (Å): 8.5665 8.5665 8.5665
angles (deg): 60.00 60.00 60.00
Element x y z (fractional)
Ba  0.0000  0.5000  0.5000
Ba  0.5000  0.5000  0.0000
Ba  0.0000  0.0000  0.5000
Ba  0.5000  0.0000  0.5000
Ba  0.0000  0.5000  0.0000
Ba  0.5000  0.0000  0.0000
Ba  0.5000  0.5000  0.5000
Cu  0.0000  0.0000  0.0000


No. 3
First-principles (PBE-GGA) data for an optimized crystal structure of BaCu2, as listed in the Alexandria database.

Calculated values
total moment = 0.00 μB per cell
crystal system = monoclinic
energy = -10.1 eV per formula unit
energy of formation = 0.05 eV/f.u.
SG = C2/m (12)

a b c (Å): 6.2397 6.2397 7.6310
angles (deg): 53.00 53.00 39.96
Element x y z (fractional)
Cu  0.3672  0.3672  0.8824
Cu  0.9106  0.9106  0.0621
Cu  0.2779  0.2779  0.2824
Cu  0.9998  0.9998  0.6620
Ba  0.5782  0.5782  0.2626
Ba  0.6995  0.6995  0.6818


No. 4
First-principles (PBE-GGA) data for an optimized crystal structure of BaCu, as listed in the Alexandria database.

Calculated values
total moment = 2.93 μB per cell
crystal system = cubic
energy = -5.1 eV per formula unit
energy of formation = 0.89 eV/f.u.
SG = F-43m (216)

a b c (Å): 7.2461 7.2461 7.2461
angles (deg): 90.00 90.00 90.00
Element x y z (fractional)
Cu  0.7500  0.2500  0.7500
Cu  0.7500  0.7500  0.2500
Cu  0.2500  0.7500  0.7500
Cu  0.2500  0.2500  0.2500
Ba  0.0000  0.5000  0.5000
Ba  0.0000  0.0000  0.0000
Ba  0.5000  0.5000  0.0000
Ba  0.5000  0.0000  0.5000


No. 5
First-principles (PBE-GGA) data for an optimized crystal structure of BaCu, as listed in the Alexandria database.

Calculated values
total moment = 0.00 μB per cell
crystal system = tetragonal
energy = -5.8 eV per formula unit
energy of formation = 0.22 eV/f.u.
SG = I4/m (87)

a b c (Å): 9.4462 9.4462 6.1006
angles (deg): 90.00 90.00 90.00
Element x y z (fractional)
Ba  0.2104  0.5942  0.5000
Ba  0.4058  0.2104  0.5000
Ba  0.9058  0.7104  0.0000
Ba  0.0942  0.2896  0.0000
Ba  0.7104  0.0942  0.0000
Ba  0.5942  0.7896  0.5000
Ba  0.7896  0.4058  0.5000
Ba  0.2896  0.9058  0.0000
Cu  0.8253  0.0539  0.5000
Cu  0.4461  0.3253  0.0000
Cu  0.9461  0.8253  0.5000
Cu  0.1747  0.9461  0.5000
Cu  0.0539  0.1747  0.5000
Cu  0.3253  0.5539  0.0000
Cu  0.5539  0.6747  0.0000
Cu  0.6747  0.4461  0.0000


No. 6
First-principles (PBE-GGA) data for an optimized crystal structure of Ba5Cu, as listed in the Alexandria database.

Calculated values
total moment = 0.00 μB per cell
crystal system = hexagonal
energy = -12.2 eV per formula unit
distance to the lowest polymorph of the same formula = 204 meV/atom
energy of formation = 1.51 eV/f.u.
SG = P-62m (189)

a b c (Å): 7.2807 7.2807 6.5830
angles (deg): 90.00 90.00 120.00
Element x y z (fractional)
Ba  0.0000  0.6932  0.0000
Ba  0.3333  0.6667  0.5000
Ba  0.3068  0.3068  0.0000
Ba  0.6667  0.3333  0.5000
Ba  0.6932  0.0000  0.0000
Cu  0.0000  0.0000  0.5000


No. 7
First-principles (PBE-GGA) data for an optimized crystal structure of BaCu, as listed in the Alexandria database.

Calculated values
total moment = 0.00 μB per cell
crystal system = tetragonal
energy = -5.7 eV per formula unit
energy of formation = 0.35 eV/f.u.
SG = P4/nmm (129)

a b c (Å): 3.7695 3.7695 9.0850
angles (deg): 90.00 90.00 90.00
Element x y z (fractional)
Cu  0.2500  0.2500  0.5523
Cu  0.7500  0.7500  0.4477
Ba  0.7500  0.7500  0.7802
Ba  0.2500  0.2500  0.2198


No. 8
First-principles (PBE-GGA) data for an optimized crystal structure of BaCu6, as listed in the Alexandria database.

Calculated values
total moment = 0.00 μB per cell
crystal system = cubic
energy = -24.3 eV per formula unit
energy of formation = 2.17 eV/f.u.
SG = Im-3m (229)

a b c (Å): 5.7343 5.7343 5.7343
angles (deg): 109.47 109.47 109.47
Element x y z (fractional)
Ba  0.0000  0.0000  0.0000
Cu  0.5000  0.2500  0.7500
Cu  0.7500  0.2500  0.5000
Cu  0.2500  0.7500  0.5000
Cu  0.5000  0.7500  0.2500
Cu  0.7500  0.5000  0.2500
Cu  0.2500  0.5000  0.7500


No. 9
First-principles (PBE-GGA) data for an optimized crystal structure of Ba5Cu, as listed in the Alexandria database.

Calculated values
total moment = 0.00 μB per cell
crystal system = monoclinic
energy = -13.4 eV per formula unit
distance to the lowest polymorph of the same formula = 0 meV/atom
energy of formation = 0.28 eV/f.u.
SG = Cm (8)

a b c (Å): 7.7187 7.7187 10.3103
angles (deg): 77.60 77.60 32.94
Element x y z (fractional)
Ba  0.6904  0.6904  0.6477
Ba  0.9904  0.9904  0.4447
Ba  0.3833  0.3833  0.8233
Ba  0.2873  0.2873  0.2316
Ba  0.0731  0.0731  0.0259
Cu  0.7423  0.7423  0.9935


No. 10
First-principles (PBE-GGA) data for an optimized crystal structure of BaCu, as listed in the Alexandria database.

Calculated values
total moment = 0.00 μB per cell
crystal system = orthorhombic
energy = -6.0 eV per formula unit
energy of formation = 0.05 eV/f.u.
SG = Cmmm (65)

a b c (Å): 20.4157 4.5561 4.5939
angles (deg): 90.00 90.00 90.00
Element x y z (fractional)
Cu  0.7763  0.5000  0.0000
Cu  0.2763  0.0000  0.0000
Cu  0.0000  0.0000  0.5000
Cu  0.7237  0.0000  0.0000
Cu  0.5000  0.5000  0.5000
Cu  0.2237  0.5000  0.0000
Ba  0.3386  0.5000  0.5000
Ba  0.1614  0.0000  0.5000
Ba  0.0000  0.5000  0.0000
Ba  0.8386  0.0000  0.5000
Ba  0.5000  0.0000  0.0000
Ba  0.6614  0.5000  0.5000


No. 11
First-principles (PBE-GGA) data for an optimized crystal structure of BaCu, as listed in the Alexandria database.

Calculated values
total moment = 4.60 μB per cell
crystal system = cubic
energy = -4.9 eV per formula unit
energy of formation = 1.10 eV/f.u.
SG = Pm-3n (223)

a b c (Å): 8.9394 8.9394 8.9394
angles (deg): 90.00 90.00 90.00
Element x y z (fractional)
Ba  0.0000  0.7500  0.5000
Ba  0.5000  0.0000  0.2500
Ba  0.2500  0.5000  0.0000
Ba  0.7500  0.5000  0.0000
Ba  0.5000  0.0000  0.7500
Ba  0.0000  0.2500  0.5000
Cu  0.7500  0.0000  0.5000
Cu  0.0000  0.5000  0.7500
Cu  0.2500  0.0000  0.5000
Cu  0.5000  0.7500  0.0000
Cu  0.0000  0.5000  0.2500
Cu  0.5000  0.2500  0.0000


No. 12
First-principles (PBE-GGA) data for an optimized crystal structure of BaCu, as listed in the Alexandria database.

Calculated values
total moment = 0.00 μB per cell
crystal system = tetragonal
energy = -5.5 eV per formula unit
energy of formation = 0.48 eV/f.u.
SG = I4_1/amd (141)

a b c (Å): 6.8659 6.8659 6.8659
angles (deg): 140.89 140.89 56.50
Element x y z (fractional)
Ba  0.0000  0.0000  0.0000
Ba  0.2500  0.7500  0.5000
Cu  0.7500  0.2500  0.5000
Cu  0.5000  0.5000  0.0000